# ZnCoIO2

An optimized crystal structure of ZnCoIO2 (PBEsol, Alexandria via LeMat-Bulk).

Results
Magnetic moment   0.610 μB per atom
Formation energy (no corrections)   -0.174 eV per atom

```
ZnCoIO2
1.0
-0.377 2.053 3.062
-3.681 -0.378 -0.200
0.307 -4.683 3.177
I Zn Co O
1 1 1 2
Direct
0.000 0.000 0.500 I
0.500 0.500 0.500 Zn
0.000 0.000 0.000 Co
0.000 0.500 0.000 O
0.500 0.000 0.000 O
```